Entry 1
Here is a relaxed VTeIN2 crystal from Alexandria via LeMat-Bulk. Energies are from PBE.

Output
* crystal system: tetragonal

Cell: 4.033 4.033 5.773 Å, 90.00 90.00 90.00°
Space group P4/mmm (No. 123)
Symmetry-distinct sites (fractional):
V (0.000, 0.000, 0.000) (multiplicity 1)
Te (0.000, 0.000, 0.500) (multiplicity 1)
I (0.500, 0.500, 0.500) (multiplicity 1)
N (0.000, 0.500, 0.000) (multiplicity 2)



Entry 2
Here is a relaxed VTeIN2 crystal from Alexandria via LeMat-Bulk. Energies are from PBE.

Output
* crystal system: tetragonal

Cell: 4.001 4.001 7.259 Å, 90.00 90.00 90.00°
Space group P4/mmm (No. 123)
Symmetry-distinct sites (fractional):
V (0.000, 0.000, 0.000) (multiplicity 1)
Te (0.500, 0.500, 0.500) (multiplicity 1)
I (0.500, 0.500, 0.000) (multiplicity 1)
N (0.000, 0.500, 0.500) (multiplicity 2)



Q: Which of them is the most stable? A: entry 1.



Entry 1
Here is a relaxed VTeIN2 crystal from Alexandria via LeMat-Bulk. Energies are from PBE.

Output
* crystal system: tetragonal

Cell: 4.034 4.034 5.920 Å, 90.00 90.00 90.00°
Space group P4/mmm (No. 123)
Symmetry-distinct sites (fractional):
V (0.000, 0.000, 0.000) (multiplicity 1)
Te (0.500, 0.500, 0.500) (multiplicity 1)
I (0.000, 0.000, 0.500) (multiplicity 1)
N (0.000, 0.500, 0.000) (multiplicity 2)



Entry 2
Here is a relaxed VTeIN2 crystal from Alexandria via LeMat-Bulk. Energies are from PBE.

Output
* crystal system: tetragonal

Cell: 3.949 3.949 7.792 Å, 90.00 90.00 90.00°
Space group P4/mmm (No. 123)
Symmetry-distinct sites (fractional):
V (0.000, 0.000, 0.000) (multiplicity 1)
Te (0.500, 0.500, 0.000) (multiplicity 1)
I (0.500, 0.500, 0.500) (multiplicity 1)
N (0.000, 0.500, 0.500) (multiplicity 2)



Q: Which of them is the most stable? A: entry 1.



Entry 1
Here is a relaxed TeWIN2 crystal from Alexandria via LeMat-Bulk. Energies are from PBE.

Output
* crystal system: tetragonal

Cell: 4.091 4.091 5.829 Å, 90.00 90.00 90.00°
Space group P4/mmm (No. 123)
Symmetry-distinct sites (fractional):
Te (0.000, 0.000, 0.000) (multiplicity 1)
W (0.000, 0.000, 0.500) (multiplicity 1)
I (0.500, 0.500, 0.000) (multiplicity 1)
N (0.000, 0.500, 0.500) (multiplicity 2)



Entry 2
Here is a relaxed TeWIN2 crystal from Alexandria via LeMat-Bulk. Energies are from PBE.

Output
* crystal system: tetragonal

Cell: 4.055 4.055 7.576 Å, 90.00 90.00 90.00°
Space group P4/mmm (No. 123)
Symmetry-distinct sites (fractional):
Te (0.000, 0.000, 0.000) (multiplicity 1)
W (0.500, 0.500, 0.500) (multiplicity 1)
I (0.000, 0.000, 0.500) (multiplicity 1)
N (0.000, 0.500, 0.000) (multiplicity 2)



Entry 3
Here is a relaxed TeWIN2 crystal from Alexandria via LeMat-Bulk. Energies are from PBE.

Output
* crystal system: tetragonal

Cell: 3.995 3.995 7.643 Å, 90.00 90.00 90.00°
Space group P4/mmm (No. 123)
Symmetry-distinct sites (fractional):
Te (0.000, 0.000, 0.000) (multiplicity 1)
W (0.500, 0.500, 0.000) (multiplicity 1)
I (0.000, 0.000, 0.500) (multiplicity 1)
N (0.000, 0.500, 0.500) (multiplicity 2)



Q: Which of them is the most stable? A: entry 1.



Entry 1
Here is a relaxed YTeIN2 crystal from Alexandria via LeMat-Bulk. Energies are from PBE.

Output
* crystal system: tetragonal

Cell: 4.444 4.444 6.714 Å, 90.00 90.00 90.00°
Space group P4/mmm (No. 123)
Symmetry-distinct sites (fractional):
Y (0.000, 0.000, 0.000) (multiplicity 1)
Te (0.000, 0.000, 0.500) (multiplicity 1)
I (0.500, 0.500, 0.500) (multiplicity 1)
N (0.000, 0.500, 0.000) (multiplicity 2)



Entry 2
Here is a relaxed YTeIN2 crystal from Alexandria via LeMat-Bulk. Energies are from PBE.

Output
* crystal system: tetragonal

Cell: 4.287 4.287 5.718 Å, 90.00 90.00 90.00°
Space group P4/mmm (No. 123)
Symmetry-distinct sites (fractional):
Y (0.000, 0.000, 0.000) (multiplicity 1)
Te (0.500, 0.500, 0.000) (multiplicity 1)
I (0.500, 0.500, 0.500) (multiplicity 1)
N (0.000, 0.500, 0.500) (multiplicity 2)



Entry 3
Here is a relaxed YTeIN2 crystal from Alexandria via LeMat-Bulk. Energies are from PBE.

Output
* crystal system: tetragonal

Cell: 4.278 4.278 5.789 Å, 90.00 90.00 90.00°
Space group P4/mmm (No. 123)
Symmetry-distinct sites (fractional):
Y (0.000, 0.000, 0.000) (multiplicity 1)
Te (0.500, 0.500, 0.500) (multiplicity 1)
I (0.500, 0.500, 0.000) (multiplicity 1)
N (0.000, 0.500, 0.500) (multiplicity 2)



Q: Which of them is the most stable? A: entry 1.



Entry 1
Here is a relaxed ZnTe2IN crystal from Alexandria via LeMat-Bulk. Energies are from PBE.

Output
* crystal system: tetragonal

Cell: 5.952 5.952 3.653 Å, 90.00 90.00 90.00°
Space group P4/mmm (No. 123)
Symmetry-distinct sites (fractional):
Zn (0.000, 0.000, 0.000) (multiplicity 1)
Te (0.000, 0.500, 0.000) (multiplicity 2)
I (0.500, 0.500, 0.500) (multiplicity 1)
N (0.000, 0.000, 0.500) (multiplicity 1)



Entry 2
Here is a relaxed ZnTe2IN crystal from Alexandria via LeMat-Bulk. Energies are from PBE.

Output
* crystal system: tetragonal

Cell: 6.076 6.076 3.906 Å, 90.00 90.00 90.00°
Space group P4/mmm (No. 123)
Symmetry-distinct sites (fractional):
Zn (0.000, 0.000, 0.000) (multiplicity 1)
Te (0.000, 0.500, 0.500) (multiplicity 2)
I (0.500, 0.500, 0.500) (multiplicity 1)
N (0.500, 0.500, 0.000) (multiplicity 1)



Q: Which of them is the most stable? A: entry 1.



Entry 1
Here is a relaxed ZnTe2IN crystal from Alexandria via LeMat-Bulk. Energies are from PBE.

Output
* crystal system: tetragonal

Cell: 5.294 5.294 5.325 Å, 90.00 90.00 90.00°
Space group P4/mmm (No. 123)
Symmetry-distinct sites (fractional):
Zn (0.000, 0.000, 0.000) (multiplicity 1)
Te (0.000, 0.500, 0.000) (multiplicity 2)
I (0.000, 0.000, 0.500) (multiplicity 1)
N (0.500, 0.500, 0.500) (multiplicity 1)



Entry 2
Here is a relaxed ZnTe2IN crystal from Alexandria via LeMat-Bulk. Energies are from PBE.

Output
* crystal system: tetragonal

Cell: 4.900 4.900 4.816 Å, 90.00 90.00 90.00°
Space group P4/mmm (No. 123)
Symmetry-distinct sites (fractional):
Zn (0.000, 0.000, 0.000) (multiplicity 1)
Te (0.000, 0.500, 0.500) (multiplicity 2)
I (0.500, 0.500, 0.000) (multiplicity 1)
N (0.500, 0.500, 0.500) (multiplicity 1)



Q: Which of them is the most stable? A: entry 2.